Record 1
First-principles (GGA-PBE) data for crystalline SrNdZnAg at its relaxed geometry, as listed in Alexandria via LeMat-Bulk.

Calculated values
Offset from the most stable computed form in eV per atom: 0.049
Raw total energy in eV per atom: -2.85
ΔH_f (0 K) in eV per formula unit: -0.84

Cell: 5.3793 5.3793 5.3793 Å, 60.00 60.00 60.00°
Last column: nearest neighbours and their distance in Å.
Positions (direct):
Sr 0.5000 0.5000 0.5000  4 Zn 3.29, 4 Ag 3.29
Ag 0.2500 0.2500 0.2500  4 Sr 3.29, 4 Nd 3.29
Nd 0.0000 0.0000 0.0000  4 Ag 3.29, 4 Zn 3.29
Zn 0.7500 0.7500 0.7500  4 Nd 3.29, 4 Sr 3.29

=====

Record 2
First-principles (GGA-PBE) data for crystalline TbPmTm2S6 at its relaxed geometry, as listed in Alexandria via LeMat-Bulk.

Calculated values
Raw total energy in eV per atom: -6.36
ΔE_f (raw) in meV per atom: -2052

Cell: 6.9271 6.9269 7.3342 Å, 61.82 61.82 59.99°
Last column: nearest neighbours and their distance in Å.
Positions (direct):
S 0.9063 0.6215 0.2460  2 Tm 2.68-2.74, 1 Tb 2.74, 1 Pm 2.88
S 0.6214 0.2264 0.2460  2 Tm 2.68-2.74, 1 Tb 2.74, 1 Pm 2.88
S 0.2263 0.9062 0.2460  2 Tm 2.68-2.74, 1 Tb 2.74, 1 Pm 2.88
S 0.7250 0.1321 0.7473  2 Tm 2.68-2.74, 1 Pm 2.78, 1 Tb 2.80
S 0.3956 0.7249 0.7473  2 Tm 2.68-2.74, 1 Pm 2.78, 1 Tb 2.80
S 0.1322 0.3957 0.7473  2 Tm 2.68-2.74, 1 Pm 2.78, 1 Tb 2.80
Tm 0.5161 0.5160 0.4518  6 S 2.68-2.74
Tm 0.0140 0.0140 0.9581  6 S 2.68-2.74
Tb 0.3142 0.3142 0.0573  6 S 2.74-2.80
Pm 0.8105 0.8106 0.5683  6 S 2.78-2.88

=====

Record 3
First-principles (GGA-PBE) data for crystalline Sr5Ca at its relaxed geometry, as listed in Alexandria via LeMat-Bulk.

Calculated values
Offset from the most stable computed form in eV per atom: 0.002
Raw total energy in eV per atom: -1.72
ΔH_f (0 K) in eV per formula unit: 0.07

Cell: 11.1118 11.1118 6.9628 Å, 90.00 90.00 158.35°
Last column: nearest neighbours and their distance in Å.
Positions (direct):
Sr 0.3369 0.6631 0.0000  2 Ca 4.13, 10 Sr 4.17-4.31
Sr 0.7771 0.2229 0.5000  12 Sr 4.17-4.27
Sr 0.4458 0.5542 0.5000  8 Sr 4.13-4.23, 4 Ca 4.23
Sr 0.1092 0.8908 0.5000  10 Sr 4.13-4.23, 2 Ca 4.21
Sr 0.6640 0.3360 0.0000  2 Ca 4.14, 10 Sr 4.17-4.31
Ca 0.0004 0.9996 0.0000  10 Sr 4.13-4.23, 2 Ca 4.17

=====

Record 4
First-principles (GGA-PBE) data for crystalline UBeSi2Ni at its relaxed geometry, as listed in Alexandria via LeMat-Bulk.

Calculated values
Raw total energy in eV per atom: -6.78
ΔE_f (raw) in meV per atom: -450

Cell: 3.8681 3.8681 5.5663 Å, 110.33 110.33 90.00°
Last column: nearest neighbours and their distance in Å.
Positions (direct):
Ni 0.2500 0.7500 0.5000  4 Si 2.30
Si 0.3777 0.3777 0.7555  2 Ni 2.30, 2 Be 2.30, 1 Si 2.37
Si 0.6223 0.6223 0.2445  2 Be 2.30, 2 Ni 2.30, 1 Si 2.37
U 0.0000 0.0000 0.0000  8 Si 2.98, 4 Be 3.10, 4 Ni 3.10
Be 0.7500 0.2500 0.5000  4 Si 2.30

=====

Record 5
First-principles (GGA-PBE) data for crystalline GeH2Se at its relaxed geometry, as listed in Alexandria via LeMat-Bulk.

Calculated values
Offset from the most stable computed form in eV per atom: 0.077
Raw total energy in eV per atom: -3.74

Cell: 4.9261 3.6239 4.9688 Å, 90.00 115.25 90.00°
Last column: nearest neighbours and their distance in Å.
Positions (direct):
Ge 0.2814 0.0000 0.5939  2 H 1.54
H 0.9643 0.0000 0.5825  1 Ge 1.54
H 0.2786 0.0000 0.2830  1 Ge 1.54
Se 0.5720 0.5000 0.8873  2 Ge 2.38

=====

Record 6
First-principles (GGA-PBE) data for crystalline Tm6Sb5Pb at its relaxed geometry, as listed in Alexandria via LeMat-Bulk.

Calculated values
Raw total energy in eV per atom: -5.19
ΔE_f (raw) in meV per atom: -926

Cell: 7.5311 7.5247 7.5313 Å, 60.03 80.38 70.45°
Last column: nearest neighbours and their distance in Å.
Positions (direct):
Tm 0.7491 0.4199 0.6636  5 Sb 3.05-3.08, 1 Pb 3.09
Tm 0.2509 0.9165 0.6636  5 Sb 3.05-3.08, 1 Pb 3.09
Tm 0.7491 0.0835 0.3364  5 Sb 3.05-3.08, 1 Pb 3.09
Tm 0.2509 0.5801 0.3364  5 Sb 3.05-3.08, 1 Pb 3.09
Tm 0.2508 0.2525 0.0000  5 Sb 3.05-3.08, 1 Pb 3.10
Tm 0.7492 0.7475 0.0000  5 Sb 3.05-3.08, 1 Pb 3.10
Sb 0.5000 0.1664 0.6672  6 Tm 3.05-3.08
Sb 0.0000 0.3333 0.3333  6 Tm 3.07
Sb 0.5000 0.5000 0.0000  6 Tm 3.05-3.08
Sb 0.0000 0.6667 0.6667  6 Tm 3.07
Sb 0.5000 0.8336 0.3328  6 Tm 3.05-3.08
Pb 0.0000 0.0000 0.0000  6 Tm 3.09-3.10

=====

Record 7
First-principles (GGA-PBE) data for crystalline Cs2ZrAsS4 at its relaxed geometry, as listed in Alexandria via LeMat-Bulk.

Calculated values
Raw total energy in eV per atom: -4.82
ΔE_f (raw) in meV per atom: -896

Cell: 5.6533 8.2432 13.6060 Å, 85.91 78.01 69.95°
Last column: nearest neighbours and their distance in Å.
Positions (direct):
S 0.1336 0.3028 0.3902  1 Zr 2.48, 1 As 2.61
S 0.5636 0.3028 0.6098  1 Zr 2.48, 1 As 2.61
S 0.4762 0.6972 0.3902  1 Zr 2.48, 1 As 2.61
S 0.2738 0.8028 0.1098  1 Zr 2.48, 1 As 2.61
S 0.8265 0.6972 0.6098  1 Zr 2.48, 1 As 2.61
S 0.9235 0.8028 0.8902  1 Zr 2.48, 1 As 2.61
S 0.6164 0.1972 0.1098  1 Zr 2.48, 1 As 2.61
S 0.1864 0.1972 0.8902  1 Zr 2.48, 1 As 2.61
Zr 0.7500 0.5000 0.5000  4 S 2.48
Zr 0.0000 0.0000 0.0000  4 S 2.48
As 0.2500 0.5000 0.5000  4 S 2.61, 2 Zr 2.83
As 0.5000 0.0000 0.0000  4 S 2.61, 2 Zr 2.83
Cs 0.8262 0.0000 0.3476  6 S 3.63-3.80
Cs 0.1738 0.0000 0.6524  6 S 3.63-3.80
Cs 0.5762 0.5000 0.8476  6 S 3.63-3.80
Cs 0.9238 0.5000 0.1524  6 S 3.63-3.80

=====

Record 8
First-principles (GGA-PBE) data for crystalline Be2GePt2 at its relaxed geometry, as listed in Alexandria via LeMat-Bulk.

Calculated values
Offset from the most stable computed form in eV per atom: 0.056
Raw total energy in eV per atom: -5.22
ΔH_f (0 K) in eV per formula unit: -1.94

Cell: 6.8953 6.8953 2.7682 Å, 90.00 90.00 90.00°
Last column: nearest neighbours and their distance in Å.
Positions (direct):
Be 0.8692 0.6308 0.0000  6 Pt 2.43-2.49, 1 Be 2.55, 2 Ge 2.70
Be 0.6308 0.1308 0.0000  6 Pt 2.43-2.49, 1 Be 2.55, 2 Ge 2.70
Be 0.1308 0.3692 0.0000  6 Pt 2.43-2.49, 1 Be 2.55, 2 Ge 2.70
Be 0.3692 0.8692 0.0000  6 Pt 2.43-2.49, 1 Be 2.55, 2 Ge 2.70
Pt 0.3425 0.1575 0.5000  6 Be 2.43-2.49
Pt 0.8425 0.3425 0.5000  6 Be 2.43-2.49
Pt 0.1575 0.6575 0.5000  6 Be 2.43-2.49
Pt 0.6575 0.8425 0.5000  6 Be 2.43-2.49
Ge 0.5000 0.5000 0.0000  4 Be 2.70, 2 Ge 2.77, 8 Pt 2.94
Ge 0.0000 0.0000 0.0000  4 Be 2.70, 2 Ge 2.77, 8 Pt 2.94

=====

Record 9
First-principles (GGA-PBE) data for crystalline ScPIr2 at its relaxed geometry, as listed in Alexandria via LeMat-Bulk.

Calculated values
Raw total energy in eV per atom: -7.49
ΔH_f (0 K) in eV per formula unit: -0.51

Cell: 4.4566 4.4566 4.4566 Å, 60.00 60.00 60.00°
Last column: nearest neighbours and their distance in Å.
Positions (direct):
Sc 0.7500 0.7500 0.7500  4 Ir 2.73, 4 P 2.73
Ir 0.2500 0.2500 0.2500  4 Ir 2.73, 4 P 2.73
Ir 0.0000 0.0000 0.0000  4 Sc 2.73, 4 Ir 2.73
P 0.5000 0.5000 0.5000  4 Sc 2.73, 4 Ir 2.73

=====

Record 10
First-principles (GGA-PBE) data for crystalline TcAs2H at its relaxed geometry, as listed in Alexandria via LeMat-Bulk.

Calculated values
Offset from the most stable computed form in eV per atom: 0.000
Raw total energy in eV per atom: -5.31

Cell: 5.8325 5.8325 5.1939 Å, 55.84 55.84 90.00°
Last column: nearest neighbours and their distance in Å.
Positions (direct):
As 0.5485 0.1250 0.2500  2 H 1.94
As 0.3750 0.4515 0.7500  2 H 1.94
As 0.2015 0.6250 0.2500  2 H 1.94
As 0.8750 0.7985 0.7500  2 H 1.94
H 0.2500 0.7500 0.5000  4 As 1.94
H 0.5000 0.5000 0.0000  4 As 1.94
Tc 0.0000 0.0000 0.0000  4 As 2.52
Tc 0.7500 0.2500 0.5000  4 As 2.52

=====

Record 11
First-principles (GGA-PBE) data for crystalline TbSm2HfN4 at its relaxed geometry, as listed in Alexandria via LeMat-Bulk.

Calculated values
Raw total energy in eV per atom: -8.79
ΔE_f (raw) in meV per atom: -1625

Cell: 3.4386 5.9756 6.0071 Å, 109.08 90.00 90.00°
Last column: nearest neighbours and their distance in Å.
Positions (direct):
N 0.0000 0.7602 0.2311  1 Hf 2.30, 2 Tb 2.43, 2 Sm 2.47
N 0.0000 0.2398 0.7689  1 Hf 2.30, 2 Tb 2.43, 2 Sm 2.47
N 0.5000 0.2282 0.2240  2 Hf 2.33, 1 Tb 2.42, 3 Sm 2.47-2.57
N 0.5000 0.7718 0.7760  2 Hf 2.33, 1 Tb 2.42, 3 Sm 2.47-2.57
Hf 0.0000 0.0000 0.0000  6 N 2.30-2.33
Sm 0.0000 0.5000 0.5000  6 N 2.57-2.58
Sm 0.5000 0.0000 0.5000  6 N 2.47
Tb 0.5000 0.5000 0.0000  6 N 2.42-2.43

=====

Record 12
First-principles (GGA-PBE) data for crystalline SrClF4 at its relaxed geometry, as listed in Alexandria via LeMat-Bulk.

Calculated values
Raw total energy in eV per atom: -3.90
ΔE_f (raw) in meV per atom: -2063

Cell: 6.9064 6.9064 6.9064 Å, 109.36 109.36 109.69°
Last column: nearest neighbours and their distance in Å.
Positions (direct):
F 0.2513 0.0403 0.2110  2 Sr 2.31-2.34
F 0.2903 0.0013 0.7110  2 Sr 2.31-2.34
F 0.7226 0.9463 0.2238  1 Cl 1.79
F 0.2903 0.5794 0.2890  2 Sr 2.31-2.34
F 0.7488 0.4726 0.2762  1 Cl 1.79
F 0.7226 0.4988 0.7762  1 Cl 1.79
F 0.1963 0.4726 0.7238  1 Cl 1.79
F 0.8294 0.0403 0.7890  2 Sr 2.31-2.34
Cl 0.9846 0.4846 0.5000  2 F 1.79
Cl 0.7346 0.7346 0.0000  2 F 1.79
Sr 0.4896 0.9896 0.5000  4 F 2.31-2.34
Sr 0.2396 0.2396 0.0000  4 F 2.31-2.34

=====

Record 13
First-principles (GGA-PBE) data for crystalline LiPtPb at its relaxed geometry, as listed in Alexandria via LeMat-Bulk.

Calculated values
Raw total energy in eV per atom: -4.27
ΔH_f (0 K) in eV per formula unit: -1.15

Cell: 5.7570 6.0311 7.8724 Å, 90.00 90.00 118.51°
Last column: nearest neighbours and their distance in Å.
Positions (direct):
Pb 0.3480 0.6961 0.0915  4 Pt 2.75-2.92
Pb 0.1520 0.3039 0.5915  4 Pt 2.75-2.92
Pb 0.6520 0.3039 0.9085  4 Pt 2.75-2.92
Pb 0.8480 0.6961 0.4085  4 Pt 2.75-2.92
Li 0.3347 0.1694 0.2500  4 Pt 2.85-2.96, 2 Li 2.88, 4 Pb 3.13-3.15
Li 0.8347 0.1694 0.2500  4 Pt 2.85-2.96, 2 Li 2.88, 4 Pb 3.13-3.15
Li 0.1653 0.8306 0.7500  4 Pt 2.85-2.96, 2 Li 2.88, 4 Pb 3.13-3.15
Li 0.6653 0.8306 0.7500  4 Pt 2.85-2.96, 2 Li 2.88, 4 Pb 3.13-3.15
Pt 0.1146 0.2292 0.9398  1 Pt 2.61, 4 Pb 2.75-2.92, 2 Li 2.85
Pt 0.6146 0.2292 0.5602  1 Pt 2.61, 4 Pb 2.75-2.92, 2 Li 2.85
Pt 0.3854 0.7708 0.4398  1 Pt 2.61, 4 Pb 2.75-2.92, 2 Li 2.85
Pt 0.8854 0.7708 0.0602  1 Pt 2.61, 4 Pb 2.75-2.92, 2 Li 2.85

=====

Record 14
First-principles (GGA-PBE) data for crystalline KNpI2F6 at its relaxed geometry, as listed in Alexandria via LeMat-Bulk.

Calculated values
Raw total energy in eV per atom: -5.19
ΔE_f (raw) in meV per atom: -2354

Cell: 7.1098 7.1106 7.1103 Å, 60.00 60.00 90.01°
Last column: nearest neighbours and their distance in Å.
Positions (direct):
I 0.2500 0.7500 0.4999  12 F 3.58
I 0.7500 0.2500 0.5001  12 F 3.58
F 0.7049 0.7049 0.5902  1 Np 2.06
F 0.2951 0.7049 0.0000  1 Np 2.06
F 0.2951 0.2951 0.4098  1 Np 2.06
F 0.7049 0.7049 0.0000  1 Np 2.06
F 0.7049 0.2951 0.0000  1 Np 2.06
F 0.2951 0.2951 0.0000  1 Np 2.06
Np 0.5000 0.5000 0.0000  6 F 2.06
K 0.0000 0.0000 0.0000  6 F 2.97

=====

Record 15
First-principles (GGA-PBE) data for crystalline Nd2ThAs3Rh4 at its relaxed geometry, as listed in Alexandria via LeMat-Bulk.

Calculated values
Raw total energy in eV per atom: -6.97
ΔH_f (0 K) in eV per formula unit: -9.40

Cell: 4.2378 4.2378 11.3597 Å, 90.00 90.00 90.00°
Last column: nearest neighbours and their distance in Å.
Positions (direct):
Nd 0.0000 0.5000 0.7877  4 As 3.14, 8 Rh 3.21-3.36
Nd 0.5000 0.0000 0.2123  4 As 3.14, 8 Rh 3.21-3.36
Rh 0.5000 0.5000 0.0000  4 As 2.58
Rh 0.0000 0.5000 0.3456  3 As 2.46-2.75, 2 Th 2.75
Rh 0.0000 0.0000 0.0000  4 As 2.58
Rh 0.5000 0.0000 0.6544  3 As 2.46-2.75, 2 Th 2.75
As 0.5000 0.0000 0.8708  5 Rh 2.46-2.58
As 0.0000 0.5000 0.1292  5 Rh 2.46-2.58
As 0.0000 0.0000 0.5000  4 Rh 2.75, 4 Th 3.00
Th 0.5000 0.5000 0.5000  4 Rh 2.75, 4 As 3.00

=====

Record 16
First-principles (GGA-PBE) data for crystalline TcTeWN2 at its relaxed geometry, as listed in Alexandria via LeMat-Bulk.

Calculated values
Offset from the most stable computed form in eV per atom: 0.462
Raw total energy in eV per atom: -7.27
ΔE_f (raw) in meV per atom: 1349

Cell: 3.9045 3.9045 5.6992 Å, 90.00 90.00 90.00°
Last column: nearest neighbours and their distance in Å.
Positions (direct):
W 0.5000 0.5000 0.5000  4 Te 2.76
Tc 0.0000 0.0000 0.0000  4 N 1.95
Te 0.0000 0.0000 0.5000  4 W 2.76, 2 Tc 2.85
N 0.5000 0.0000 0.0000  2 Tc 1.95
N 0.0000 0.5000 0.0000  2 Tc 1.95

=====

Record 17
First-principles (GGA-PBE) data for crystalline EuAu4Se at its relaxed geometry, as listed in Alexandria via LeMat-Bulk.

Calculated values
Raw total energy in eV per atom: -4.95
ΔE_f (raw) in meV per atom: -476

Cell: 5.6548 5.6548 5.6548 Å, 60.00 60.00 60.00°
Last column: nearest neighbours and their distance in Å.
Positions (direct):
Au 0.6250 0.1251 0.6250  6 Au 2.83
Au 0.6250 0.6250 0.1251  6 Au 2.83
Au 0.1251 0.6250 0.6250  6 Au 2.83
Au 0.6250 0.6250 0.6250  6 Au 2.83
Se 0.2500 0.2500 0.2500  12 Au 3.32, 4 Eu 3.46
Eu 0.0000 0.0000 0.0000  12 Au 3.32, 4 Se 3.46

=====

Record 18
First-principles (GGA-PBE) data for crystalline InAg2Pb at its relaxed geometry, as listed in Alexandria via LeMat-Bulk.

Calculated values
Raw total energy in eV per atom: -2.93
ΔH_f (0 K) in eV per formula unit: 0.43

Cell: 9.7935 9.7935 9.7935 Å, 19.83 19.83 19.83°
Last column: nearest neighbours and their distance in Å.
Positions (direct):
Ag 0.2536 0.2536 0.2536  3 Ag 2.84, 3 In 2.92
Ag 0.9923 0.9923 0.9923  3 Ag 2.84, 3 Pb 3.11
In 0.5112 0.5112 0.5112  3 Ag 2.92
Pb 0.7430 0.7430 0.7430  3 Ag 3.11, 6 Pb 3.37

=====

Record 19
First-principles (GGA-PBE) data for crystalline Ca3Th5Sb8 at its relaxed geometry, as listed in Alexandria via LeMat-Bulk.

Calculated values
Raw total energy in eV per atom: -5.73
ΔE_f (raw) in meV per atom: -979

Cell: 9.0459 9.0459 9.0300 Å, 59.94 59.94 60.00°
Last column: nearest neighbours and their distance in Å.
Positions (direct):
Sb 0.2515 0.2515 0.2456  3 Th 3.18, 3 Ca 3.21
Sb 0.7500 0.2503 0.2497  4 Th 3.19-3.20, 2 Ca 3.20
Sb 0.2500 0.2500 0.7503  4 Th 3.19-3.20, 2 Ca 3.20
Sb 0.7485 0.7485 0.7544  3 Th 3.18, 3 Ca 3.21
Sb 0.2503 0.7500 0.2497  4 Th 3.19-3.20, 2 Ca 3.20
Sb 0.2500 0.7497 0.7503  4 Th 3.19-3.20, 2 Ca 3.20
Sb 0.7500 0.7500 0.2497  4 Th 3.19-3.20, 2 Ca 3.20
Sb 0.7497 0.2500 0.7503  4 Th 3.19-3.20, 2 Ca 3.20
Ca 0.0000 0.0000 0.5000  6 Sb 3.20-3.21
Ca 0.5000 0.0000 0.5000  6 Sb 3.20-3.21
Ca 0.0000 0.5000 0.5000  6 Sb 3.20-3.21
Th 0.5000 0.0000 0.0000  6 Sb 3.18-3.19
Th 0.5000 0.5000 0.5000  6 Sb 3.20
Th 0.0000 0.5000 0.0000  6 Sb 3.18-3.19
Th 0.0000 0.0000 0.0000  6 Sb 3.20
Th 0.5000 0.5000 0.0000  6 Sb 3.18-3.19

=====

Record 20
First-principles (GGA-PBE) data for crystalline Tb7DyHo3 at its relaxed geometry, as listed in Alexandria via LeMat-Bulk.

Calculated values
Offset from the most stable computed form in eV per atom: 0.124
Raw total energy in eV per atom: -4.35
ΔH_f (0 K) in eV per formula unit: 2.89

Cell: 5.7801 8.3866 8.3866 Å, 82.99 110.21 110.21°
Last column: nearest neighbours and their distance in Å.
Positions (direct):
Tb 0.3025 0.0073 0.5984  2 Ho 3.16-3.52, 3 Tb 3.28-3.45
Tb 0.6975 0.4016 0.9927  2 Ho 3.16-3.52, 3 Tb 3.28-3.45
Tb 0.0000 0.5000 0.5000  2 Dy 2.89
Tb 0.7900 0.7917 0.7917  1 Dy 3.25, 2 Ho 3.26, 2 Tb 3.45
Tb 0.6975 0.9927 0.4016  2 Ho 3.16-3.52, 3 Tb 3.28-3.45
Tb 0.3025 0.5984 0.0073  2 Ho 3.16-3.52, 3 Tb 3.28-3.45
Tb 0.2100 0.2083 0.2083  1 Dy 3.25, 2 Ho 3.26, 2 Tb 3.45
Ho 0.0000 0.7942 0.2058  9 Tb 3.26-3.63
Ho 0.0000 0.2058 0.7942  9 Tb 3.26-3.63
Ho 0.5000 0.0000 0.0000  4 Tb 3.16
Dy 0.5000 0.5000 0.5000  2 Tb 2.89

=====

What are the V values for these records? In order: 110; 255; 317; 73; 80; 348; 291; 66; 63; 54; 117; 127; 60; 254; 204; 87; 128; 95; 522; 358 Å³/f.u..